Material: KCu2Pt
Method: DFT, PBEsol
State: optimized geometry

Properties
DFT formation energy = 228 meV/atom
calculated total energy = -3.963 eV/atom
crystal system = orthorhombic
energy above the lowest structure with this stoichiometry = 0 meV per atom
N(E_F) = 0.425 states/eV/atom

```
data_KCu2Pt
_chemical_formula_sum 'K1 Cu2 Pt1'
_space_group_name_H-M_alt 'P m m m'
_space_group_IT_number 47
_cell_length_a 2.774
_cell_length_b 3.765
_cell_length_c 6.927
_cell_angle_alpha 90.00
_cell_angle_beta 90.00
_cell_angle_gamma 90.00
loop_
_space_group_symop_operation_xyz
'x,y,z'
'-x,-y,-z'
'-x,-y,z'
'x,y,-z'
'x,-y,-z'
'-x,y,z'
'-x,y,-z'
'x,-y,z'
loop_
_atom_site_label
_atom_site_type_symbol
_atom_site_fract_x
_atom_site_fract_y
_atom_site_fract_z
K1 K 0.000 0.000 0.000
Cu1 Cu 0.500 0.500 0.332
Pt1 Pt 0.000 0.000 0.500
```